Record 1
HgH3Os: optimized geometry, PBE-GGA.

Geometry as POSCAR:
```
HgH3Os
1.0
3.601 0.000 0.000
0.000 3.601 0.000
0.000 0.000 3.601
Os H Hg
1 3 1
direct
0.000 0.000 0.000
0.000 0.500 0.000
0.500 0.000 0.000
0.000 0.000 0.500
0.500 0.500 0.500
```

Calculated values
Energy relative to the lowest polymorph listed for this composition   0.000 eV/atom
Calculated density   14.0 Mg/m³

---

Record 2
Tl3Co: optimized geometry, PBE-GGA.

Geometry as POSCAR:
```
Tl3Co
1.0
-4.048 -3.062 0.296
1.888 -2.086 4.235
-2.429 3.482 2.798
Tl Co
3 1
direct
0.000 0.500 0.000
0.500 0.000 0.000
0.000 0.000 0.500
0.000 0.000 0.000
```

Calculated values
Energy relative to the elements   223 meV per atom
Calculated density   8.5 Mg/m³

---

Record 3
CaLaBr2: optimized geometry, PBE-GGA.

Geometry as POSCAR:
```
CaLaBr2
1.0
-6.048 1.496 4.402
-1.363 0.212 7.503
4.338 1.957 -5.962
Br Ca La
2 1 1
direct
0.033 0.033 0.000
0.801 0.301 0.500
0.460 0.460 0.000
0.206 0.706 0.500
```

Calculated values
Energy relative to the lowest polymorph listed for this composition   0.117 eV/atom
Formation energy (no corrections)   -1.18 eV per atom
Calculated density   4.8 Mg/m³

---

Record 4
Nd3SbN2: optimized geometry, PBE-GGA.

Geometry as POSCAR:
```
Nd3SbN2
1.0
-4.844 4.127 4.994
2.524 1.750 7.554
1.416 6.181 2.817
N Nd Sb
4 6 2
direct
0.754 0.145 0.013
0.246 0.855 0.987
0.411 0.355 0.487
0.589 0.645 0.513
0.328 0.736 0.361
0.500 0.500 0.000
0.075 0.236 0.861
0.672 0.264 0.639
0.925 0.764 0.139
0.500 0.000 0.500
0.159 0.250 0.250
0.841 0.750 0.750
```

Calculated values
Energy relative to the lowest polymorph listed for this composition   0.000 eV/atom
Formation energy (no corrections)   -1.15 eV per atom
Calculated density   6.8 Mg/m³

---

Record 5
LiLaSeBr2: optimized geometry, PBE-GGA.

Geometry as POSCAR:
```
LiLaSeBr2
1.0
5.905 0.000 0.000
0.000 5.744 0.000
0.000 0.000 5.905
La Br Li Se
1 2 1 1
direct
0.000 0.000 0.000
0.000 0.000 0.500
0.500 0.000 0.000
0.500 0.500 0.500
0.000 0.500 0.000
```

Calculated values
Energy relative to the lowest polymorph listed for this composition   0.017 eV/atom
Formation energy (no corrections)   -1.39 eV per atom
Calculated density   3.2 Mg/m³

---

Record 6
Ca2TlBr: optimized geometry, PBE-GGA.

Geometry as POSCAR:
```
Ca2TlBr
1.0
8.104 0.000 0.000
0.000 8.104 0.000
4.052 4.052 4.179
Br Tl Ca
2 2 4
direct
0.250 0.750 0.500
0.500 0.500 0.000
0.750 0.250 0.500
0.000 0.000 0.000
0.375 0.394 0.750
0.144 0.625 0.250
0.606 0.125 0.250
0.875 0.856 0.750
```

Calculated values
Energy relative to the lowest polymorph listed for this composition   0.235 eV/atom
Formation energy (no corrections)   -0.69 eV per atom
Calculated density   4.4 Mg/m³

---

Record 7
SrLaV3: optimized geometry, PBE-GGA.

Geometry as POSCAR:
```
SrLaV3
1.0
-3.364 3.041 1.674
-2.312 -3.702 2.078
2.590 0.645 4.031
V La Sr
3 1 1
direct
0.500 0.000 0.000
0.000 0.500 0.000
0.000 0.000 0.500
0.000 0.000 0.000
0.500 0.500 0.500
```

Calculated values
Energy relative to the lowest polymorph listed for this composition   0.000 eV/atom
Energy relative to the elements   1475 meV per atom
Calculated density   5.6 Mg/m³

---

Record 8
CrPb2Se: optimized geometry, PBE-GGA.

Geometry as POSCAR:
```
CrPb2Se
1.0
-4.653 2.380 -0.090
-2.488 1.046 4.477
-0.441 4.939 1.652
Pb Cr Se
2 1 1
direct
0.000 0.000 0.000
0.750 0.750 0.750
0.500 0.500 0.500
0.250 0.250 0.250
```

Calculated values
Formation energy (no corrections)   0.36 eV per atom
Calculated density   9.0 Mg/m³

---

Record 9
Ba4SbRu: optimized geometry, PBE-GGA.

Geometry as POSCAR:
```
Ba4SbRu
1.0
0.000 4.902 4.902
4.902 0.000 4.902
4.902 4.902 0.000
Ba Sb Ru
4 1 1
direct
0.375 0.876 0.375
0.876 0.375 0.375
0.375 0.375 0.375
0.375 0.375 0.876
0.000 0.000 0.000
0.750 0.750 0.750
```

Calculated values
Formation energy (no corrections)   0.74 eV per atom
Calculated density   5.4 Mg/m³

---

Record 10
YErSnRh: optimized geometry, PBE-GGA.

Geometry as POSCAR:
```
YErSnRh
1.0
-4.288 -2.482 -1.133
0.219 -4.607 -2.135
-1.342 -4.108 2.676
Sn Y Er Rh
1 1 1 1
direct
0.500 0.500 0.500
0.250 0.250 0.250
0.750 0.750 0.750
0.000 0.000 0.000
```

Calculated values
Energy relative to the elements   -673 meV per atom
Calculated density   8.5 Mg/m³

---

Record 11
Y3InSe2: optimized geometry, PBE-GGA.

Geometry as POSCAR:
```
Y3InSe2
1.0
3.907 -0.118 -1.008
-0.480 5.400 -2.491
-0.165 0.119 7.433
In Y Se
1 3 2
direct
0.500 0.000 0.000
0.823 0.823 0.646
0.177 0.177 0.354
0.500 0.500 0.000
0.165 0.665 0.330
0.835 0.335 0.670
```

Calculated values
Formation energy (no corrections)   -1.33 eV per atom
Calculated density   5.7 Mg/m³

---

Record 12
PdCS2N: optimized geometry, PBE-GGA.

Geometry as POSCAR:
```
PdCS2N
1.0
5.459 0.000 0.000
0.000 5.459 0.000
0.000 0.000 2.459
C S N Pd
1 2 1 1
direct
0.000 0.000 0.000
0.500 0.000 0.000
0.000 0.500 0.000
0.000 0.000 0.500
0.500 0.500 0.500
```

Calculated values
Energy relative to the lowest polymorph listed for this composition   0.000 eV/atom
Formation energy (no corrections)   0.93 eV per atom
Calculated density   4.5 Mg/m³

---

Record 13
Pr3Cd2In3: optimized geometry, PBE-GGA.

Geometry as POSCAR:
```
Pr3Cd2In3
1.0
-1.534 4.344 1.073
-3.467 -1.999 3.138
8.506 -0.754 4.787
Pr Cd In
3 2 3
direct
0.137 0.636 0.275
0.863 0.364 0.725
0.000 0.000 0.000
0.244 0.243 0.489
0.756 0.757 0.511
0.365 0.865 0.730
0.635 0.135 0.270
0.500 0.500 0.000
```

Calculated values
Energy relative to the lowest polymorph listed for this composition   0.042 eV/atom
Energy relative to the elements   -390 meV per atom
Calculated density   7.5 Mg/m³

---

Record 14
LiNb2Mo: optimized geometry, PBE-GGA.

Geometry as POSCAR:
```
LiNb2Mo
1.0
-2.176 -5.892 3.260
0.749 -3.616 -6.037
1.866 -5.336 -0.720
Mo Nb Li
2 4 2
direct
0.750 0.250 0.500
0.000 0.000 0.000
0.875 0.868 0.750
0.132 0.625 0.250
0.618 0.125 0.250
0.375 0.382 0.750
0.500 0.500 0.000
0.250 0.750 0.500
```

Calculated values
Energy relative to the lowest polymorph listed for this composition   0.472 eV/atom
Energy relative to the elements   679 meV per atom
Calculated density   7.0 Mg/m³

---

Record 15
PaTi2Rh: optimized geometry, PBE-GGA.

Geometry as POSCAR:
```
PaTi2Rh
1.0
4.594 0.000 0.000
2.297 3.979 0.000
2.297 1.326 3.752
Ti Rh Pa
2 1 1
direct
0.750 0.750 0.750
0.250 0.250 0.250
0.000 0.000 0.000
0.500 0.500 0.500
```

Calculated values
Energy relative to the lowest polymorph listed for this composition   0.127 eV/atom
Energy relative to the elements   -197 meV per atom
Calculated density   10.4 Mg/m³

---

Record 16
TlHgSe: optimized geometry, PBE-GGA.

Geometry as POSCAR:
```
TlHgSe
1.0
-3.362 -1.294 2.504
3.624 -4.788 -1.452
2.707 5.307 6.378
Tl Se Hg
2 2 2
direct
0.570 0.139 0.825
0.430 0.861 0.175
0.881 0.762 0.892
0.119 0.238 0.108
0.837 0.675 0.446
0.163 0.325 0.554
```

Calculated values
Energy relative to the lowest polymorph listed for this composition   0.071 eV/atom
Formation energy (no corrections)   -0.16 eV per atom
Calculated density   8.4 Mg/m³

---

Record 17
CePaPd2O8: optimized geometry, PBE-GGA.

Geometry as POSCAR:
```
CePaPd2O8
1.0
-2.448 0.743 -5.568
-0.914 -5.732 1.964
-2.662 3.906 3.899
O Ce Pd Pa
8 1 2 1
direct
0.282 0.456 0.175
0.964 0.279 0.316
0.964 0.648 0.684
0.544 0.718 0.825
0.721 0.036 0.684
0.893 0.718 0.175
0.282 0.107 0.825
0.352 0.036 0.316
0.250 0.750 0.500
0.500 0.500 0.000
0.750 0.250 0.500
0.000 0.000 0.000
```

Calculated values
Formation energy (no corrections)   -1.76 eV per atom
Calculated density   6.7 Mg/m³

---

Record 18
PmH4Rh3: optimized geometry, PBE-GGA.

Geometry as POSCAR:
```
PmH4Rh3
1.0
5.458 0.000 0.000
0.000 5.458 0.000
0.000 0.000 5.458
H Pm Rh
8 2 6
direct
0.750 0.750 0.250
0.250 0.250 0.750
0.250 0.250 0.250
0.750 0.750 0.750
0.250 0.750 0.250
0.750 0.250 0.750
0.750 0.250 0.250
0.250 0.750 0.750
0.000 0.000 0.000
0.500 0.500 0.500
0.500 0.250 0.000
0.500 0.750 0.000
0.000 0.500 0.250
0.750 0.000 0.500
0.000 0.500 0.750
0.250 0.000 0.500
```

Calculated values
Calculated density   9.3 Mg/m³
Total DFT energy (no corrections)   -42.3 eV/f.u.

---

Record 19
CePr3Pb4: optimized geometry, PBE-GGA.

Geometry as POSCAR:
```
CePr3Pb4
1.0
5.779 0.000 -1.560
-0.422 5.763 -1.565
-0.948 -1.062 7.971
Pr Pb Ce
3 4 1
direct
0.748 0.248 0.497
0.000 0.500 0.000
0.252 0.752 0.503
0.125 0.125 0.249
0.375 0.376 0.751
0.875 0.875 0.751
0.625 0.624 0.249
0.500 0.000 0.000
```

Calculated values
Energy relative to the elements   -472 meV per atom
Calculated density   9.4 Mg/m³

---

Record 20
Ce4Dy2N: optimized geometry, PBE-GGA.

Geometry as POSCAR:
```
Ce4Dy2N
1.0
4.890 0.000 0.000
0.000 4.890 0.000
2.445 2.445 8.300
Dy Ce N
2 4 1
direct
0.655 0.655 0.691
0.345 0.345 0.309
0.141 0.141 0.718
0.000 0.500 0.000
0.500 0.000 0.000
0.859 0.859 0.282
0.000 0.000 0.000
```

Calculated values
Formation energy (no corrections)   -0.17 eV per atom
Calculated density   7.5 Mg/m³